Record 1
Here is a relaxed structure of TlCdTc2 from Alexandria. Energies are from PBE.

Cell: 5.5272 5.5272 5.5272 Å, 146.20 129.42 62.23°
Last column: nearest neighbours and their distance in Å.
Sites, in units of the cell vectors:
Tl1 0.7500 0.2500 0.5000  4 Tc 2.84, 4 Cd 2.86
Cd1 0.2500 0.7500 0.5000  4 Tl 2.86, 4 Tc 2.88
Tc1 0.9969 0.9969 0.0000  2 Tl 2.84, 4 Tc 2.86, 2 Cd 2.88
Tc2 0.5031 0.5031 0.0000  2 Tl 2.84, 4 Tc 2.86, 2 Cd 2.88

Results
ΔH_f (0 K) = 0.759 eV/atom
M_tot = 0.005 μB/cell
space-group type = No. 71
offset from the most stable computed form = 520 meV/atom

***

Record 2
Here is a relaxed structure of TlCdTc2 from Alexandria. Energies are from PBE.

Cell: 5.9488 5.9488 5.9488 Å, 151.02 131.60 57.41°
Last column: nearest neighbours and their distance in Å.
Sites, in units of the cell vectors:
Cd1 0.2328 0.7328 0.5000  6 Tc 2.90-3.15, 2 Cd 2.98
Tc1 0.9671 0.9671 0.0000  2 Tc 2.47
Tc2 0.7785 0.2785 0.5000  2 Tc 2.47
Tl1 0.5216 0.5216 0.0000  6 Tc 2.91-3.07, 2 Tl 2.98

Results
ΔH_f (0 K) = 0.618 eV/atom
M_tot = 0.000 μB/cell
space-group type = No. 44
offset from the most stable computed form = 378 meV/atom

***

Record 3
Here is a relaxed structure of TlCd2Tc from Alexandria. Energies are from PBE.

Cell: 10.2455 10.2455 10.2455 Å, 17.43 17.43 17.43°
Last column: nearest neighbours and their distance in Å.
Sites, in units of the cell vectors:
Cd1 0.2425 0.2425 0.2425  3 Tc 2.87, 9 Cd 3.10-3.21
Cd2 0.9971 0.9971 0.9971  9 Cd 3.10-3.21, 3 Tl 3.38
Tl1 0.7586 0.7586 0.7586  3 Tc 2.93, 6 Tl 3.10
Tc1 0.5018 0.5018 0.5018  3 Cd 2.87, 3 Tl 2.93, 6 Tc 3.10

Results
ΔH_f (0 K) = 0.475 eV/atom
M_tot = 0.919 μB/cell
space-group type = No. 160
offset from the most stable computed form = 91 meV/atom

***

Record 4
Here is a relaxed structure of TlCdTc from Alexandria. Energies are from PBE.

Cell: 7.8178 7.5774 3.0260 Å, 83.17 74.23 22.60°
Last column: nearest neighbours and their distance in Å.
Sites, in units of the cell vectors:
Cd1 0.9878 0.9878 0.0122  2 Tc 2.80, 4 Cd 3.03
Tl1 0.6770 0.6770 0.3230  2 Tc 2.86, 4 Tl 3.03
Tc1 0.3352 0.3352 0.6648  2 Cd 2.80, 2 Tl 2.86, 4 Tc 3.03

Results
ΔH_f (0 K) = 0.665 eV/atom
M_tot = 1.235 μB/cell
space-group type = No. 42
offset from the most stable computed form = 45 meV/atom

***

Record 5
Here is a relaxed structure of TlCd4Tc from Alexandria. Energies are from PBE.

Cell: 5.7519 5.7519 5.7519 Å, 60.00 60.00 60.00°
Last column: nearest neighbours and their distance in Å.
Sites, in units of the cell vectors:
Cd1 0.3759 0.3759 0.8724  6 Cd 2.86-2.90
Tl1 0.0000 0.0000 0.0000  12 Cd 3.37, 4 Tc 3.52
Cd2 0.3759 0.3759 0.3759  6 Cd 2.86-2.90
Tc1 0.7500 0.7500 0.7500  12 Cd 3.37, 4 Tl 3.52
Cd3 0.3759 0.8724 0.3759  6 Cd 2.86-2.90
Cd4 0.8724 0.3759 0.3759  6 Cd 2.86-2.90

Results
ΔH_f (0 K) = 0.545 eV/atom
M_tot = 2.868 μB/cell
space-group type = No. 216

***

Record 6
Here is a relaxed structure of TlCd2Tc from Alexandria. Energies are from PBE.

Cell: 5.4312 2.9015 5.1627 Å, 88.78 90.00 90.00°
Last column: nearest neighbours and their distance in Å.
Sites, in units of the cell vectors:
Cd1 0.0000 0.4986 0.4907  6 Cd 2.86-3.08, 2 Tc 3.08, 2 Tl 3.12
Cd2 0.0000 0.0014 0.0093  6 Cd 2.86-3.08, 2 Tc 3.08, 2 Tl 3.12
Tc1 0.5000 0.2500 0.2500  2 Tc 2.90, 4 Tl 2.93-2.99, 4 Cd 3.08
Tl1 0.5000 0.7500 0.7500  2 Tl 2.90, 4 Tc 2.93-2.99, 4 Cd 3.12

Results
ΔH_f (0 K) = 0.519 eV/atom
M_tot = 0.000 μB/cell
space-group type = No. 10
offset from the most stable computed form = 134 meV/atom

***

Record 7
Here is a relaxed structure of TlCdTc2 from Alexandria. Energies are from PBE.

Cell: 3.1559 4.8073 4.7518 Å, 90.00 90.00 90.00°
Last column: nearest neighbours and their distance in Å.
Sites, in units of the cell vectors:
Tl1 0.5000 0.0000 0.5000  4 Tc 2.85, 4 Cd 2.88, 2 Tl 3.16
Tc1 0.5000 0.5000 0.0000  4 Cd 2.85, 6 Tc 2.88-3.16
Tc2 0.0000 0.0000 0.0000  4 Tl 2.85, 6 Tc 2.88-3.16
Cd1 0.0000 0.5000 0.5000  4 Tc 2.85, 4 Tl 2.88, 2 Cd 3.16

Results
ΔH_f (0 K) = 0.763 eV/atom
M_tot = 0.873 μB/cell
space-group type = No. 47
offset from the most stable computed form = 523 meV/atom

***

Record 8
Here is a relaxed structure of TlCdTc2 from Alexandria. Energies are from PBE.

Cell: 4.6762 4.6762 4.6762 Å, 60.00 60.00 60.00°
Last column: nearest neighbours and their distance in Å.
Sites, in units of the cell vectors:
Cd1 0.0000 0.0000 0.0000  8 Tc 2.86
Tc1 0.2500 0.2500 0.2500  4 Cd 2.86, 4 Tl 2.86
Tc2 0.7500 0.7500 0.7500  4 Cd 2.86, 4 Tl 2.86
Tl1 0.5000 0.5000 0.5000  8 Tc 2.86

Results
ΔH_f (0 K) = 0.812 eV/atom
M_tot = 3.124 μB/cell
space-group type = No. 225
offset from the most stable computed form = 572 meV/atom

***

Record 9
Here is a relaxed structure of TlCdTc from Alexandria. Energies are from PBE.

Cell: 7.1702 7.1702 7.1702 Å, 155.62 155.62 34.75°
Last column: nearest neighbours and their distance in Å.
Sites, in units of the cell vectors:
Tc1 0.3372 0.3372 0.0000  4 Cd 2.91, 4 Tl 3.02, 4 Tc 3.03
Cd1 0.9808 0.9808 0.0000  4 Tc 2.91, 4 Cd 3.03
Tl1 0.6820 0.6820 0.0000  4 Tc 3.02, 4 Tl 3.03

Results
ΔH_f (0 K) = 0.638 eV/atom
M_tot = 1.667 μB/cell
space-group type = No. 107
offset from the most stable computed form = 18 meV/atom

***

Record 10
Here is a relaxed structure of TlCd2Tc from Alexandria. Energies are from PBE.

Cell: 6.6533 5.3125 3.1675 Å, 90.52 60.63 118.68°
Last column: nearest neighbours and their distance in Å.
Sites, in units of the cell vectors:
Cd1 0.5000 0.0000 0.5000  4 Cd 2.90-3.17, 4 Tl 3.08-3.10, 4 Tc 3.08-3.10
Tl1 0.5000 0.5000 0.0000  2 Tc 2.90, 8 Cd 3.08-3.10, 2 Tl 3.17
Tc1 0.0000 0.5000 0.5000  2 Tl 2.90, 8 Cd 3.08-3.10, 2 Tc 3.17
Cd2 0.0000 0.0000 0.0000  4 Cd 2.90-3.17, 4 Tc 3.08-3.10, 4 Tl 3.08-3.10

Results
ΔH_f (0 K) = 0.478 eV/atom
M_tot = 1.413 μB/cell
space-group type = No. 12
offset from the most stable computed form = 94 meV/atom

***

Record 11
Here is a relaxed structure of TlCdTc2 from Alexandria. Energies are from PBE.

Cell: 2.9748 2.9748 8.2900 Å, 90.00 90.00 90.00°
Last column: nearest neighbours and their distance in Å.
Sites, in units of the cell vectors:
Tc1 0.0000 0.0000 0.9974  4 Cd 2.94, 4 Tl 2.97, 4 Tc 2.97
Tl1 0.5000 0.5000 0.2500  8 Tc 2.97, 4 Tl 2.97
Cd1 0.5000 0.5000 0.7500  8 Tc 2.94, 4 Cd 2.97
Tc2 0.0000 0.0000 0.5026  4 Cd 2.94, 4 Tl 2.97, 4 Tc 2.97

Results
ΔH_f (0 K) = 0.810 eV/atom
M_tot = 3.603 μB/cell
space-group type = No. 123
offset from the most stable computed form = 570 meV/atom

***

Record 12
Here is a relaxed structure of TlCd2Tc from Alexandria. Energies are from PBE.

Cell: 3.0645 3.0645 9.0814 Å, 90.00 90.00 90.00°
Last column: nearest neighbours and their distance in Å.
Sites, in units of the cell vectors:
Cd1 0.0000 0.0000 0.0155  8 Cd 3.06-3.21
Tc1 0.0000 0.0000 0.4904  4 Cd 2.91, 4 Tl 2.99, 4 Tc 3.06
Cd2 0.5000 0.5000 0.2763  4 Tc 2.91, 8 Cd 3.06-3.21
Tl1 0.5000 0.5000 0.7178  4 Tc 2.99, 4 Tl 3.06

Results
ΔH_f (0 K) = 0.490 eV/atom
M_tot = 1.751 μB/cell
space-group type = No. 99
offset from the most stable computed form = 106 meV/atom